# 1
## NaCaNi4 (PBE)

Data for a relaxed NaCaNi4 crystal.

DFT formation energy: -1 meV per atom

CIF file:
```
data_NaCaNi4
_cell_length_a 7.086
_cell_length_b 7.086
_cell_length_c 7.086
_cell_angle_alpha 90.00
_cell_angle_beta 90.00
_cell_angle_gamma 90.00
_space_group_name_H-M_alt 'F -4 3 m'
_space_group_IT_number 216
_space_group_name_Hall 'F -4 2 3'
loop_
_atom_site_label
_atom_site_type_symbol
_atom_site_fract_x
_atom_site_fract_y
_atom_site_fract_z
_atom_site_occupancy
Na1 Na 0.000 0.000 0.000 1
Ca1 Ca 0.250 0.250 0.250 1
Ni1 Ni 0.125 0.125 0.625 1
```



# 2
## B5C7 (PBE)

Data for a relaxed B5C7 crystal.

DFT formation energy: 374 meV per atom

CIF file:
```
data_B5C7
_cell_length_a 8.564
_cell_length_b 2.621
_cell_length_c 7.828
_cell_angle_alpha 90.00
_cell_angle_beta 119.17
_cell_angle_gamma 90.00
_space_group_name_H-M_alt 'C 1 m 1'
_space_group_IT_number 8
_space_group_name_Hall 'C -2y'
loop_
_atom_site_label
_atom_site_type_symbol
_atom_site_fract_x
_atom_site_fract_y
_atom_site_fract_z
_atom_site_occupancy
B1 B 0.000 0.000 0.000 1
B2 B 0.025 0.500 0.585 1
B3 B 0.142 0.000 0.890 1
B4 B 0.233 0.500 0.820 1
B5 B 0.345 0.000 0.150 1
C1 C 0.016 0.500 0.118 1
C2 C 0.026 0.000 0.462 1
C3 C 0.186 0.500 0.315 1
C4 C 0.189 0.000 0.434 1
C5 C 0.347 0.500 0.279 1
C6 C 0.363 0.000 0.631 1
C7 C 0.388 0.500 0.753 1
```



DFT formation energy of number 2 (B5C7)?
374 meV per atom



The lowest DFT formation energy belongs to which entry?
NaCaNi4



What did the second record say?
## B5C7 (PBE)

Data for a relaxed B5C7 crystal.

DFT formation energy: 374 meV per atom

CIF file:
```
data_B5C7
_cell_length_a 8.564
_cell_length_b 2.621
_cell_length_c 7.828
_cell_angle_alpha 90.00
_cell_angle_beta 119.17
_cell_angle_gamma 90.00
_space_group_name_H-M_alt 'C 1 m 1'
_space_group_IT_number 8
_space_group_name_Hall 'C -2y'
loop_
_atom_site_label
_atom_site_type_symbol
_atom_site_fract_x
_atom_site_fract_y
_atom_site_fract_z
_atom_site_occupancy
B1 B 0.000 0.000 0.000 1
B2 B 0.025 0.500 0.585 1
B3 B 0.142 0.000 0.890 1
B4 B 0.233 0.500 0.820 1
B5 B 0.345 0.000 0.150 1
C1 C 0.016 0.500 0.118 1
C2 C 0.026 0.000 0.462 1
C3 C 0.186 0.500 0.315 1
C4 C 0.189 0.000 0.434 1
C5 C 0.347 0.500 0.279 1
C6 C 0.363 0.000 0.631 1
C7 C 0.388 0.500 0.753 1
```